Run one
PBE-GGA TlSiAsSe2, relaxed; crystal system = tetragonal; DOS at the Fermi energy = 6.36 states/eV per cell; ρ = 5.14 g cm⁻³; magnetization = 0.000 μB per formula unit
1.0
-4.0002 -1.9746 2.9277
-1.3268 -3.2593 -4.0110
3.2352 -3.6922 1.9301
As Se Si Tl
1 2 1 1
direct
0.0000 0.0000 0.5000
0.0000 0.5000 0.0000
0.5000 0.0000 0.0000
0.5000 0.5000 0.5000
0.0000 0.0000 0.0000

=====

Run two
PBE-GGA TlSiAsSe2, relaxed; crystal system = tetragonal; DOS at the Fermi energy = 3.92 states/eV per cell; ρ = 6.38 g cm⁻³; magnetization = 0.000 μB per formula unit
1.0
4.9922 0.0000 0.0000
0.0000 4.8624 0.0000
0.0000 0.0000 4.9922
Se As Tl Si
2 1 1 1
direct
0.0000 0.0000 0.5000
0.5000 0.0000 0.0000
0.0000 0.5000 0.0000
0.5000 0.5000 0.5000
0.0000 0.0000 0.0000

=====

Stability, highest: run two

=====

Run one
PBE-GGA VSiAs2Se, relaxed; crystal system = tetragonal; DOS at the Fermi energy = 4.34 states/eV per cell; ρ = 4.72 g cm⁻³; magnetization = 0.288 μB per formula unit
1.0
-1.8790 -3.0847 -3.1762
-1.9075 -2.5497 3.6048
-3.8894 2.5970 -0.2212
As V Si Se
2 1 1 1
direct
0.0000 0.5000 0.0000
0.5000 0.0000 0.0000
0.0000 0.0000 0.0000
0.5000 0.5000 0.5000
0.0000 0.0000 0.5000

=====

Run two
PBE-GGA VSiAs2Se, relaxed; crystal system = tetragonal; DOS at the Fermi energy = 7.28 states/eV per cell; ρ = 4.86 g cm⁻³; magnetization = 0.024 μB per formula unit
1.0
-0.4558 -1.7515 -4.3323
1.7745 -4.0917 1.4675
-4.3904 -1.5183 1.0758
As Si V Se
2 1 1 1
direct
0.0000 0.5000 0.0000
0.5000 0.0000 0.0000
0.0000 0.0000 0.0000
0.5000 0.5000 0.5000
0.0000 0.0000 0.5000

=====

Stability, highest: run one